Below is crystalline BeNiAs2O6 at its relaxed geometry, with properties calculated at the PBE with a Hubbard U level.

Cell and atoms, written as POSCAR:
```
BeNiAs2O6
1.0
-2.251 4.483 0.103
-6.199 -1.157 -3.045
-2.067 0.696 6.654
O As Ni Be
12 4 2 2
direct
0.490 0.457 0.293
0.174 0.958 0.794
0.326 0.206 0.042
0.924 0.334 0.872
0.424 0.872 0.334
0.674 0.794 0.958
0.076 0.666 0.128
0.990 0.293 0.457
0.576 0.128 0.666
0.010 0.707 0.543
0.510 0.543 0.707
0.826 0.042 0.206
0.158 0.451 0.239
0.342 0.761 0.549
0.658 0.239 0.451
0.842 0.549 0.761
0.750 0.090 0.910
0.250 0.910 0.090
0.750 0.824 0.176
0.250 0.176 0.824
```

Calculated volume = 11.25 Å³ per atom
Total moment = 0.569 μB per cell
Symmetry = C2/c (15)
Density = 4.6 g cm⁻³
DFT total energy = -0.423 Ry per atom